Record 1
BaHfGe: optimized geometry, PBE.

Geometry as extended XYZ:
```
3
Lattice="0.000 3.561 3.561 3.561 0.000 3.561 3.561 3.561 0.000" Properties=species:S:1:pos:R:3 pbc="T T T"
Ba 0.000 0.000 0.000
Hf 3.561 3.561 3.561
Ge 1.781 1.781 1.781
```

Computed properties:
SG: F-43m (216)
Energy (eV/atom): -5.1675

---

Record 2
Dy2BiIO4: optimized geometry, PBE.

Geometry as extended XYZ:
```
8
Lattice="3.995 0.000 0.000 0.000 3.995 0.000 0.000 0.000 9.316" Properties=species:S:1:pos:R:3 pbc="T T T"
Dy 0.000 0.000 2.299
Dy 0.000 0.000 7.017
Bi 1.998 1.998 4.658
I 1.998 1.998 0.000
O 0.000 1.998 3.177
O 0.000 1.998 6.139
O 1.998 0.000 3.177
O 1.998 0.000 6.139
```

Computed properties:
SG: P4/mmm (123)
Energy (eV/atom): -6.6917

---

Record 3
PrDyGe2: optimized geometry, PBE.

Geometry as extended XYZ:
```
4
Lattice="3.304 0.000 0.000 0.000 2.977 5.780 0.000 -2.977 5.780" Properties=species:S:1:pos:R:3 pbc="T T T"
Pr 0.000 0.000 0.000
Dy 0.000 0.000 3.438
Ge 0.000 0.000 6.229
Ge 0.000 0.000 8.671
```

Computed properties:
SG: Amm2 (38)
Energy (eV/atom): -4.6123

---

Record 4
Dy4AlGe4Pd2: optimized geometry, PBE.

Geometry as extended XYZ:
```
11
Lattice="7.833 -2.132 0.000 7.833 2.132 0.000 -2.108 0.000 6.727" Properties=species:S:1:pos:R:3 pbc="T T T"
Dy 0.542 0.000 2.536
Dy 0.490 0.000 6.203
Dy 13.068 0.000 0.524
Dy 13.016 0.000 4.191
Al 7.833 0.000 0.000
Ge 3.295 0.000 5.166
Ge 6.180 0.000 2.244
Ge 7.378 0.000 4.483
Ge 10.263 0.000 1.561
Pd 3.617 0.000 2.478
Pd 9.941 0.000 4.249
```

Computed properties:
SG: C2/m (12)
Energy (eV/atom): -5.5150

---

Record 5
FeSiBi: optimized geometry, PBE.

Geometry as extended XYZ:
```
3
Lattice="0.000 3.013 3.013 3.013 0.000 3.013 3.013 3.013 0.000" Properties=species:S:1:pos:R:3 pbc="T T T"
Fe 0.000 0.000 0.000
Si 1.506 1.506 1.506
Bi 4.519 4.519 4.519
```

Computed properties:
SG: F-43m (216)
Energy (eV/atom): -5.5413

---

Record 6
BaLaCuTe2S: optimized geometry, PBE.

Geometry as extended XYZ:
```
24
Lattice="12.295 0.000 0.000 0.000 4.463 0.000 0.000 0.000 13.057" Properties=species:S:1:pos:R:3 pbc="T T T"
Ba 2.497 1.116 0.261
Ba 3.650 3.347 6.789
Ba 8.645 1.116 6.268
Ba 9.798 3.347 12.796
La 0.384 1.116 9.080
La 5.763 3.347 2.552
La 6.532 1.116 10.505
La 11.911 3.347 3.977
Cu 3.014 3.347 10.221
Cu 3.133 1.116 3.692
Cu 9.162 3.347 9.364
Cu 9.280 1.116 2.836
Te 0.636 3.347 11.342
Te 1.267 1.116 5.597
Te 4.881 3.347 12.126
Te 5.511 1.116 4.813
Te 6.784 3.347 8.244
Te 7.414 1.116 0.931
Te 11.028 3.347 7.459
Te 11.659 1.116 1.715
S 2.911 3.347 2.599
S 3.237 1.116 9.128
S 9.058 3.347 3.929
S 9.384 1.116 10.457
```

Computed properties:
SG: Pnma (62)
Energy (eV/atom): -4.8598

---

Record 7
HoCdIn2: optimized geometry, PBE.

Geometry as extended XYZ:
```
4
Lattice="4.614 0.000 0.000 0.000 4.614 0.000 0.000 0.000 4.518" Properties=species:S:1:pos:R:3 pbc="T T T"
Ho 0.000 0.000 0.000
Cd 2.307 2.307 0.000
In 0.000 2.307 2.259
In 2.307 0.000 2.259
```

Computed properties:
SG: P4/mmm (123)
Energy (eV/atom): -3.1219

---

Record 8
Al2ReNi: optimized geometry, PBE.

Geometry as extended XYZ:
```
4
Lattice="0.000 3.011 3.011 3.011 0.000 3.011 3.011 3.011 0.000" Properties=species:S:1:pos:R:3 pbc="T T T"
Al 0.000 0.000 0.000
Al 1.506 1.506 1.506
Re 3.011 3.011 3.011
Ni 4.517 4.517 4.517
```

Computed properties:
SG: F-43m (216)
Energy (eV/atom): -6.3685

---

Record 9
NaTcNi: optimized geometry, PBE.

Geometry as extended XYZ:
```
3
Lattice="0.000 3.016 3.016 3.016 0.000 3.016 3.016 3.016 0.000" Properties=species:S:1:pos:R:3 pbc="T T T"
Na 0.000 0.000 0.000
Tc 1.508 1.508 1.508
Ni 4.524 4.524 4.524
```

Computed properties:
SG: F-43m (216)
Energy (eV/atom): -3.9321

---

Record 10
SmNiSn2Pd: optimized geometry, PBE.

Geometry as extended XYZ:
```
10
Lattice="4.497 0.000 0.000 0.000 4.497 0.000 0.000 0.000 10.343" Properties=species:S:1:pos:R:3 pbc="T T T"
Sm 1.124 1.124 2.572
Sm 3.373 3.373 7.771
Ni 1.124 1.124 6.407
Ni 3.373 3.373 3.936
Sn 1.124 1.124 8.878
Sn 1.124 3.373 5.172
Sn 3.373 1.124 5.172
Sn 3.373 3.373 1.466
Pd 1.124 3.373 0.000
Pd 3.373 1.124 0.000
```

Computed properties:
SG: P4/nmm (129)
Energy (eV/atom): -5.3547

---

> energy of number 3 (PrDyGe2)?

-4.6123 eV/atom